# AlCu2As PBE relaxed
# Polymorph energy (0 for the lowest one)   30.5 meV/atom
data_AlCu2As
_space_group_name_H-M_alt 'P m m m'
_space_group_IT_number 47
_space_group_name_Hall '-P 2 2'
_cell_length_a 2.8210
_cell_length_b 3.7473
_cell_length_c 5.5135
_cell_angle_alpha 90.00
_cell_angle_beta 90.00
_cell_angle_gamma 90.00
loop_
_atom_site_label
_atom_site_type_symbol
_atom_site_fract_x
_atom_site_fract_y
_atom_site_fract_z
Al1 Al 0.0000 0.0000 0.0000
Cu1 Cu 0.5000 0.5000 0.2288
As1 As 0.0000 0.0000 0.5000

***

Below is a relaxed AlCu4As crystal, with properties calculated at the PBE level.

```
data_AlCu4As
_space_group_name_H-M_alt 'F -4 3 m'
_space_group_IT_number 216
_space_group_name_Hall 'F -4 2 3'
_cell_length_a 6.9446
_cell_length_b 6.9446
_cell_length_c 6.9446
_cell_angle_alpha 90.00
_cell_angle_beta 90.00
_cell_angle_gamma 90.00
loop_
_atom_site_label
_atom_site_type_symbol
_atom_site_fract_x
_atom_site_fract_y
_atom_site_fract_z
Al1 Al 0.0000 0.0000 0.0000
Cu1 Cu 0.1254 0.1254 0.3746
As1 As 0.2500 0.2500 0.7500
```

***

# AlCu2As PBE relaxed
# Polymorph energy (0 for the lowest one)   11.5 meV/atom
data_AlCu2As
_space_group_name_H-M_alt 'P 4 m m'
_space_group_IT_number 99
_space_group_name_Hall 'P 4 -2'
_cell_length_a 3.4627
_cell_length_b 3.4627
_cell_length_c 4.9403
_cell_angle_alpha 90.00
_cell_angle_beta 90.00
_cell_angle_gamma 90.00
loop_
_atom_site_label
_atom_site_type_symbol
_atom_site_fract_x
_atom_site_fract_y
_atom_site_fract_z
Al1 Al 0.0000 0.0000 0.0000
Cu1 Cu 0.0000 0.0000 0.5065
Cu2 Cu 0.5000 0.5000 0.7537
As1 As 0.5000 0.5000 0.2576

***

Number 1: energy relative to the elements 2.86 kJ per mole of atoms. Number 2: energy relative to the elements 4.12 kJ per mole of atoms. Number 3: energy relative to the elements 1.03 kJ per mole of atoms.